Material: Hf5Ge5Ir
Method: DFT, PBE
State: optimized geometry Values from VASP.

Computed properties:
Total DFT energy (no corrections)   -7.671 eV/atom
Formation enthalpy at 0 K   -0.243 eV/atom

Geometry as Quantum ESPRESSO input:
```
&SYSTEM
  ibrav = 0, nat = 11, ntyp = 3
/
ATOMIC_SPECIES
Hf 178.49 Hf.upf
Ge 72.64 Ge.upf
Ir 192.22 Ir.upf
ATOMIC_POSITIONS crystal
Hf 0.000 0.000 0.000
Hf 0.316 0.316 0.173
Hf 0.396 0.396 0.781
Hf 0.604 0.604 0.219
Hf 0.684 0.684 0.827
Ge 0.169 0.169 0.805
Ge 0.177 0.177 0.395
Ge 0.500 0.500 0.500
Ge 0.823 0.823 0.605
Ge 0.831 0.831 0.195
Ir 0.000 0.000 0.500
CELL_PARAMETERS angstrom
6.128 -2.706 0.000
6.128 2.706 0.000
-2.148 0.000 6.539
```